# DyFe4Sb12 (PBE, optimized geometry)
data_DyFe4Sb12
_chemical_formula_sum 'Dy1 Fe4 Sb12'
_space_group_name_H-M_alt 'P 1'
_space_group_IT_number 1
_cell_length_a 7.937
_cell_length_b 7.937
_cell_length_c 7.937
_cell_angle_alpha 109.47
_cell_angle_beta 109.47
_cell_angle_gamma 109.47
loop_
_space_group_symop_operation_xyz
'x,y,z'
loop_
_atom_site_label
_atom_site_type_symbol
_atom_site_fract_x
_atom_site_fract_y
_atom_site_fract_z
_atom_site_occupancy
Dy1 Dy 0.000 0.000 0.000 1
Fe1 Fe 0.000 0.000 0.500 1
Fe2 Fe 0.000 0.500 0.000 1
Fe3 Fe 0.500 0.000 0.000 1
Fe4 Fe 0.500 0.500 0.500 1
Sb1 Sb 0.162 0.333 0.495 1
Sb2 Sb 0.162 0.667 0.829 1
Sb3 Sb 0.171 0.838 0.333 1
Sb4 Sb 0.333 0.171 0.838 1
Sb5 Sb 0.333 0.495 0.162 1
Sb6 Sb 0.495 0.162 0.333 1
Sb7 Sb 0.505 0.838 0.667 1
Sb8 Sb 0.667 0.505 0.838 1
Sb9 Sb 0.667 0.829 0.162 1
Sb10 Sb 0.829 0.162 0.667 1
Sb11 Sb 0.838 0.333 0.171 1
Sb12 Sb 0.838 0.667 0.505 1
# Symmetry = Im-3, No. 204
# Formation energy without anion corrections = -0.1621 eV per atom
# Mass density = 7969 kg/m3